Material: MoRuPb2
Method: DFT, PBE
State: relaxed

Calculated values
For the density, the calculation gives 13.12 g cm⁻³. For the electronic total energy, the calculation gives -6.146 eV/atom. The calculated formation energy is 0.74 eV/atom. As for the excess energy over the best structure of this formula in the dataset: 478.1 meV per atom.

a b c (Å): 6.765 6.765 6.765
angles (deg): 90.00 90.00 90.00
Space group Fm-3m (No. 225)
Asymmetric unit:
Mo 0.000 0.000 0.000 (multiplicity 4)
Ru 0.000 0.000 0.500 (multiplicity 4)
Pb 0.250 0.250 0.250 (multiplicity 8)